# 1
Below is a relaxed Fe2CoW crystal, with properties calculated at the PBE level.

a = 2.8482 Å, b = 2.8482 Å, c = 6.1527 Å
α = 90.00°, β = 90.00°, γ = 90.00°
Closest atoms and distances in Å follow each position.
Element x y z (fractional)
1 Co 0.5000 0.5000 0.7728  4 Fe 2.46, 4 W 2.63
2 Fe 0.0000 0.0000 0.0018  4 Fe 2.45, 4 Co 2.46
3 Fe 0.5000 0.5000 0.2278  4 Fe 2.45, 4 W 2.61
4 W 0.0000 0.0000 0.4977  4 Fe 2.61, 4 Co 2.63, 4 W 2.85

Properties
- Symmetry: P4mm
- Offset from the most stable computed form: 0.175 eV per formula unit

=====

# 2
Below is a relaxed Zr2CrMo3 crystal, with properties calculated at the PBE level.

a = 5.3497 Å, b = 5.3497 Å, c = 5.2734 Å
α = 89.94°, β = 120.48°, γ = 120.06°
Closest atoms and distances in Å follow each position.
Element x y z (fractional)
1 Zr 0.7486 0.3743 0.1229  9 Mo 3.08-3.12, 3 Cr 3.13, 4 Zr 3.22-3.26
2 Zr 0.2514 0.6257 0.8771  9 Mo 3.08-3.12, 3 Cr 3.13, 4 Zr 3.22-3.26
3 Cr 0.0000 0.0000 0.0000  6 Mo 2.64
4 Mo 0.5000 0.5000 0.5000  2 Cr 2.64, 4 Mo 2.67
5 Mo 0.0000 0.0000 0.5000  2 Cr 2.64, 4 Mo 2.67
6 Mo 0.5000 0.0000 0.5000  2 Cr 2.64, 4 Mo 2.67

Properties
- Symmetry: R-3m
- Electronic total energy: -59.87 eV/f.u.